Compound: Rb4CuAs2Au
Source: OQMD via LeMat-Bulk
Functional: GGA-PBE
Structure: relaxed

Properties
energy	-46.74	eV for the cell shown

a b c (Å): 7.8425 10.5849 6.3030
angles (deg): 90.00 91.00 90.00
Closest atoms and distances in Å follow each position.
Space group C2/m (No. 12)
Inequivalent atoms, fractional coordinates:
Rb 0.1509 0.1701 0.2510  4 As 3.56-3.80, 5 Rb 3.60-3.96, 1 Au 3.61, 1 Cu 3.66
Cu 0.0000 0.5000 0.0000  2 As 2.37
As 0.2389 0.5000 0.2346  1 Cu 2.37, 1 Au 2.53
Au 0.0000 0.5000 0.5000  2 As 2.53